Record 1
This record from Alexandria via LeMat-Bulk describes crystalline Fe2Mo3O12 at its relaxed geometry. The functional is PBE with a Hubbard U.

## Properties
Polymorph energy (0 for the lowest one) ... 164 meV per atom
Spin magnetization ... 6.1 μB per formula unit
Energy ... -231.9 eV for the cell shown

Cell: 6.7062 8.4735 10.3514 Å, 106.41 100.19 110.52°
Fractional positions:
Fe1 0.0294 0.1820 0.0005
Fe2 0.2384 0.6578 0.5946
Fe3 0.7616 0.3422 0.4054
Fe4 0.9706 0.8180 0.9995
Mo1 0.0705 0.5902 0.2459
Mo2 0.1536 0.2087 0.3294
Mo3 0.4588 0.1147 0.8760
Mo4 0.5412 0.8853 0.1240
Mo5 0.8464 0.7913 0.6706
Mo6 0.9295 0.4098 0.7541
O1 0.0018 0.3065 0.8729
O2 0.0628 0.0635 0.1316
O3 0.0971 0.3955 0.4444
O4 0.1081 0.0453 0.4002
O5 0.1329 0.3925 0.1718
O6 0.1940 0.5271 0.7327
O7 0.2376 0.7336 0.4271
O8 0.2620 0.8891 0.7347
O9 0.2962 0.8875 0.0167
O10 0.3309 0.2275 0.9843
O11 0.4281 0.7460 0.2128
O12 0.4517 0.3113 0.3699
O13 0.5483 0.6887 0.6301
O14 0.5719 0.2540 0.7872
O15 0.6691 0.7725 0.0157
O16 0.7038 0.1125 0.9833
O17 0.7380 0.1109 0.2653
O18 0.7624 0.2664 0.5729
O19 0.8060 0.4729 0.2673
O20 0.8671 0.6075 0.8282
O21 0.8919 0.9547 0.5998
O22 0.9029 0.6045 0.5556
O23 0.9372 0.9365 0.8684
O24 0.9982 0.6935 0.1271

Record 2
This record from Alexandria via LeMat-Bulk describes crystalline FeMo2O2 at its relaxed geometry. The functional is PBE with a Hubbard U.

## Properties
Polymorph energy (0 for the lowest one) ... 868 meV per atom
Spin magnetization ... 2.7 μB per formula unit
Energy ... -51.0 eV for the cell shown

Cell: 6.7589 6.7589 2.6385 Å, 90.00 90.00 90.00°
Fractional positions:
Fe1 0.0000 0.0000 0.0000
Fe2 0.5000 0.5000 0.0000
Mo1 0.1784 0.3216 0.0000
Mo2 0.3216 0.8216 0.0000
Mo3 0.6784 0.1784 0.0000
Mo4 0.8216 0.6784 0.0000
O1 0.1298 0.6298 0.5000
O2 0.3702 0.1298 0.5000
O3 0.6298 0.8702 0.5000
O4 0.8702 0.3702 0.5000

Record 3
This record from Alexandria via LeMat-Bulk describes crystalline FeMoP2O at its relaxed geometry. The functional is PBE with a Hubbard U.

## Properties
Polymorph energy (0 for the lowest one) ... 117 meV per atom
Spin magnetization ... 4.9 μB per formula unit
Energy ... -26.3 eV for the cell shown

Cell: 4.7357 4.7357 3.5286 Å, 90.00 90.00 90.00°
Fractional positions:
Fe1 0.0000 0.0000 0.0000
Mo1 0.5000 0.5000 0.5000
P1 0.0000 0.5000 0.0000
P2 0.5000 0.0000 0.0000
O1 0.0000 0.0000 0.5000

Record 4
This record from Alexandria via LeMat-Bulk describes crystalline FeMoPO2 at its relaxed geometry. The functional is PBE with a Hubbard U.

## Properties
Polymorph energy (0 for the lowest one) ... 268 meV per atom
Spin magnetization ... 6.7 μB per formula unit
Energy ... -28.7 eV for the cell shown

Cell: 3.7709 3.7709 4.9253 Å, 90.00 90.00 90.00°
Fractional positions:
Fe1 0.0000 0.0000 0.0000
Mo1 0.5000 0.5000 0.5000
P1 0.0000 0.0000 0.5000
O1 0.0000 0.5000 0.0000
O2 0.5000 0.0000 0.0000

Record 5
This record from Alexandria via LeMat-Bulk describes crystalline FeMoP2O at its relaxed geometry. The functional is PBE with a Hubbard U.

## Properties
Polymorph energy (0 for the lowest one) ... 0 meV per atom
Spin magnetization ... 4.2 μB per formula unit
Energy ... -26.9 eV for the cell shown

Cell: 4.8666 4.8666 3.7683 Å, 90.00 90.00 90.00°
Fractional positions:
Fe1 0.0000 0.0000 0.0000
Mo1 0.5000 0.5000 0.5000
P1 0.0000 0.5000 0.5000
P2 0.5000 0.0000 0.5000
O1 0.5000 0.5000 0.0000

Record 6
This record from Alexandria via LeMat-Bulk describes crystalline FeMoPO2 at its relaxed geometry. The functional is PBE with a Hubbard U.

## Properties
Polymorph energy (0 for the lowest one) ... 0 meV per atom
Spin magnetization ... 4.2 μB per formula unit
Energy ... -30.0 eV for the cell shown

Cell: 3.8165 3.8165 5.2820 Å, 90.00 90.00 90.00°
Fractional positions:
Fe1 0.0000 0.0000 0.0000
Mo1 0.5000 0.5000 0.5000
P1 0.5000 0.5000 0.0000
O1 0.0000 0.5000 0.5000
O2 0.5000 0.0000 0.5000